Here is a relaxed NpNbSb2 crystal from the Alexandria database. Energies are from PBE-GGA.

Calculated values
The calculation puts the excess energy over the best structure of this formula in the dataset at 0.492 eV/atom. The total moment is 3.4 μB/f.u. As for the uncorrected formation energy: 36 kJ/mol of atoms.

Lattice parameters (Å, degrees): 11.230 11.230 11.230 16.05 16.05 16.05
Element x y z (fractional)
Np  0.000  0.000  0.000
Nb  0.500  0.500  0.500
Sb  0.414  0.414  0.414
Sb  0.586  0.586  0.586